Density functional theory data (PBE-GGA) for an optimized crystal structure of K3Ac4Te8.

Summary:
Its space-group type is C2/m (12). The total moment is 0.23 Bohr magnetons per cell. For the formation energy without anion corrections, the calculation gives -1323.9 meV/atom.

The structure in POSCAR format:
```
K3Ac4Te8
1.0
6.799 -6.876 0.000
6.799 6.876 0.000
-6.748 0.000 6.856
K Ac Te
3 4 8
Cartesian
0.000 0.000 0.000
3.400 3.438 0.000
3.400 -3.438 0.000
0.025 3.438 3.428
0.025 -3.438 3.428
6.799 0.000 0.000
3.425 0.000 3.428
0.042 0.000 3.505
6.799 3.336 0.000
3.425 3.333 3.428
3.517 0.000 0.165
3.333 0.000 6.692
3.425 -3.333 3.428
6.799 -3.336 0.000
6.808 0.000 3.351
```